Record 1
A plane-wave DFT calculation with GGA+U was carried out for a relaxed structure of Fe2CuF6.

Output
Its space-group type is No. 136.

abc: 4.725 4.725 9.955
angles: 90.00 90.00 90.00
Site moments in Bohr magnetons follow the coordinates.
Sites, in units of the cell vectors:
Fe 0.500 0.500 0.333  3.90
Fe 0.500 0.500 0.667  3.90
Fe 0.000 0.000 0.167  3.90
Fe 0.000 0.000 0.833  3.90
Cu 0.500 0.500 0.000  0.63
Cu 0.000 0.000 0.500  0.63
F 0.699 0.699 0.169  0.07
F 0.699 0.699 0.831  0.07
F 0.702 0.702 0.500  0.09
F 0.798 0.202 0.000  0.09
F 0.801 0.199 0.331  0.07
F 0.801 0.199 0.669  0.07
F 0.199 0.801 0.331  0.07
F 0.199 0.801 0.669  0.07
F 0.202 0.798 0.000  0.09
F 0.298 0.298 0.500  0.09
F 0.301 0.301 0.169  0.07
F 0.301 0.301 0.831  0.07


Record 2
A plane-wave DFT calculation with GGA+U was carried out for a relaxed structure of FeCu3F.

Output
Its space-group type is No. 221.

abc: 4.126 4.126 4.126
angles: 90.00 90.00 90.00
Site moments in Bohr magnetons follow the coordinates.
Sites, in units of the cell vectors:
Fe 0.500 0.500 0.500  3.65
Cu 0.000 0.500 0.000  0.07
Cu 0.000 0.000 0.500  0.04
Cu 0.500 0.000 0.000  0.12
F 0.000 0.000 0.000  0.01


Record 3
A plane-wave DFT calculation with GGA+U was carried out for a relaxed structure of FeCu3F.

Output
Its space-group type is No. 221.

abc: 4.537 4.537 4.537
angles: 90.00 90.00 90.00
Site moments in Bohr magnetons follow the coordinates.
Sites, in units of the cell vectors:
Fe 0.000 0.000 0.000  2.90
Cu 0.000 0.500 0.000  0.02
Cu 0.000 0.000 0.500  0.07
Cu 0.500 0.000 0.000  -0.01
F 0.500 0.500 0.500  0.01


Record 4
A plane-wave DFT calculation with GGA+U was carried out for a relaxed structure of FeCuF3.

Output
Its space-group type is No. 221.

abc: 4.032 4.032 4.032
angles: 90.00 90.00 90.00
Site moments in Bohr magnetons follow the coordinates.
Sites, in units of the cell vectors:
Fe 0.000 0.000 0.000  4.13
Cu 0.500 0.500 0.500  0.01
F 0.000 0.500 0.000  0.08
F 0.000 0.000 0.500  0.04
F 0.500 0.000 0.000  0.12


no.,total DFT energy (no corrections) (eV per atom)
1,-5.10
2,-3.44
3,-3.08
4,-4.48